Record 1
BiSbTe2Se | PBE | optimized geometry

Values from the calculation:
Formation energy from raw total energies = 0.941 eV per atom
ρ = 5.3 g cm⁻³
Polymorph energy (0 for the lowest one) = 0.483 eV/atom
Crystal system = tetragonal
N(E_F) = 7.8 states/eV/cell
Total moment = 0.2713 μB per atom

a = 5.903 Å, b = 5.903 Å, c = 5.929 Å
α = 90.00°, β = 90.00°, γ = 90.00°
Each line ends with the local moment (μB).
Atoms (fractional coordinates):
Sb 0.000 0.000 0.500  -0.23
Te 0.000 0.500 0.000  0.14
Te 0.500 0.000 0.000  0.14
Bi 0.000 0.000 0.000  0.04
Se 0.500 0.500 0.500  0.84

---

Record 2
MgScHg2 | PBE | optimized geometry

Values from the calculation:
ρ = 8.5 g cm⁻³
Crystal system = trigonal
N(E_F) = 2.4 states/eV/cell
Total moment = 0.0000 μB per atom
E_form = -0.2062 eV per atom

a = 3.447 Å, b = 3.447 Å, c = 9.183 Å
α = 79.18°, β = 79.18°, γ = 60.00°
Atoms (fractional coordinates):
Mg 0.667 0.667 0.000
Sc 0.500 0.500 0.501
Hg 0.083 0.083 0.751
Hg 0.251 0.251 0.248

---

Record 3
BaCoPb | PBE | optimized geometry

Values from the calculation:
ρ = 7.7 g cm⁻³
Crystal system = cubic
N(E_F) = 2.9 states/eV/cell
Total moment = 0.0001 μB per atom
E_form = 0.3145 eV per atom

a = 4.973 Å, b = 4.973 Å, c = 4.973 Å
α = 60.00°, β = 60.00°, γ = 60.00°
Atoms (fractional coordinates):
Ba 0.500 0.500 0.500
Co 0.250 0.250 0.250
Pb 0.000 0.000 0.000

---

Volume per entry: 206.6, 92.2, 87.0 Å³/cell